(1)
This record from Alexandria describes a relaxed InHgO2 crystal. The functional is GGA-PBE.

Summary:
Magnetization   0.00 μB/f.u.
Distance to the lowest polymorph of the same formula   0.02 eV/f.u.
Raw formation energy   -942.5 meV/atom

abc: 3.3012 3.3012 20.4872
angles: 90.00 90.00 120.00
Space group R-3m (No. 166, hexagonal axes)
Unique sites:
In  0.0000  0.0000  0.0000
Hg  0.0000  0.0000  0.5000
O  0.0000  0.0000  0.3869

---

(2)
This record from Alexandria describes a relaxed InHgOsO6 crystal. The functional is GGA-PBE.

Summary:
Magnetization   0.00 μB/f.u.
Raw formation energy   -848.9 meV/atom

abc: 5.4915 5.4915 4.7744
angles: 90.00 90.00 120.00
Space group P312 (No. 149)
Unique sites:
In  0.0000  0.0000  0.0000
Hg  0.3333  0.6667  0.5000
Os  0.6667  0.3333  0.0000
O  0.3696  0.0598  0.7734

---

(3)
This record from Alexandria describes a relaxed InHgPO4 crystal. The functional is GGA-PBE.

Summary:
Magnetization   0.00 μB/f.u.
Raw formation energy   -1569.3 meV/atom

abc: 10.900 6.157 6.320
angles: 90.00 101.49 90.00
Space group C2/m (No. 12)
Unique sites:
In  0.202  0.000  0.334
Hg  0.033  0.500  0.243
P  0.139  0.000  0.774
O  0.002  0.000  0.240
O  0.180  0.197  0.639
O  0.214  0.000  0.005

---

(4)
This record from Alexandria describes a relaxed PaInHgO6 crystal. The functional is GGA-PBE.

Summary:
Magnetization   1.69 μB/f.u.
Raw formation energy   -1629.0 meV/atom

abc: 5.5834 5.5834 4.8028
angles: 90.00 90.00 120.00
Space group P312 (No. 149)
Unique sites:
Pa  0.0000  0.0000  0.0000
In  0.6667  0.3333  0.5000
Hg  0.3333  0.6667  0.5000
O  0.3301  0.0095  0.7469